1.
Entry from Alexandria via LeMat-Bulk: an optimized crystal structure of TcPdO3 (PBE).

Results
Its formation energy without anion corrections is 0.393 eV per atom. The value obtained for the density of states at the Fermi level is 1.215 states/eV/atom. The value obtained for the size of the total moment is 4.4 μB/f.u.

abc: 3.929 3.929 3.929
angles: 90.00 90.00 90.00
Space group Pm-3m (No. 221)
Unique sites:
1 Tc 0.000 0.000 0.000 [1 per cell]
2 Pd 0.500 0.500 0.500 [1 per cell]
3 O 0.000 0.500 0.500 [3 per cell]

---

2.
Entry from Alexandria via LeMat-Bulk: an optimized crystal structure of TcPd2O6 (PBE).

Results
Its formation energy without anion corrections is -0.733 eV per atom. The value obtained for the density of states at the Fermi level is 0.567 states/eV/atom. The value obtained for the size of the total moment is 0.0 μB/f.u.

abc: 4.661 4.661 9.446
angles: 90.00 90.00 90.00
Space group P4_2/mnm (No. 136)
Unique sites:
1 Tc 0.000 0.000 0.000 [2 per cell]
2 Pd 0.000 0.000 0.333 [4 per cell]
3 O 0.189 0.189 0.161 [8 per cell]
4 O 0.207 0.207 0.500 [4 per cell]

---

3.
Entry from Alexandria via LeMat-Bulk: an optimized crystal structure of TiTcPd2O (PBE).

Results
Its formation energy without anion corrections is 1.374 eV per atom. The value obtained for the density of states at the Fermi level is 1.149 states/eV/atom. The value obtained for the size of the total moment is 1.9 μB/f.u.

abc: 4.643 4.643 4.573
angles: 90.00 90.00 90.00
Space group P4/mmm (No. 123)
Unique sites:
1 Ti 0.000 0.000 0.000 [1 per cell]
2 Tc 0.000 0.000 0.500 [1 per cell]
3 Pd 0.000 0.500 0.000 [2 per cell]
4 O 0.500 0.500 0.500 [1 per cell]

---

4.
Entry from Alexandria via LeMat-Bulk: an optimized crystal structure of TePd2O2 (PBE).

Results
Its formation energy without anion corrections is 0.206 eV per atom. The calculation puts the energy above the most stable polymorph in this dataset at 0.126 eV/atom. The value obtained for the density of states at the Fermi level is 0.614 states/eV/atom. The value obtained for the size of the total moment is 0.0 μB/f.u.

abc: 6.960 6.960 2.989
angles: 90.00 90.00 90.00
Space group P4/mbm (No. 127)
Unique sites:
1 Te 0.000 0.000 0.000 [2 per cell]
2 Pd 0.138 0.362 0.000 [4 per cell]
3 O 0.200 0.700 0.500 [4 per cell]

---

5.
Entry from Alexandria via LeMat-Bulk: an optimized crystal structure of TePd2O2 (PBE).

Results
Its formation energy without anion corrections is 0.080 eV per atom. The calculation puts the energy above the most stable polymorph in this dataset at 0.000 eV/atom. The value obtained for the density of states at the Fermi level is 1.047 states/eV/atom. The value obtained for the size of the total moment is 0.0 μB/f.u.

abc: 3.718 3.718 10.534
angles: 90.00 90.00 90.00
Space group I4/mmm (No. 139)
Unique sites:
1 Te 0.000 0.000 0.000 [2 per cell]
2 Pd 0.000 0.000 0.360 [4 per cell]
3 O 0.000 0.500 0.250 [4 per cell]

---

6.
Entry from Alexandria via LeMat-Bulk: an optimized crystal structure of TePdO2 (PBE).

Results
Its formation energy without anion corrections is -0.279 eV per atom. The value obtained for the density of states at the Fermi level is 0.849 states/eV/atom. The value obtained for the size of the total moment is 0.0 μB/f.u.

abc: 3.3283 3.3283 18.9401
angles: 90.00 90.00 120.00
Space group R-3m (No. 166, hexagonal axes)
Unique sites:
1 Te 0.0000 0.0000 0.0000 [3 per cell]
2 Pd 0.0000 0.0000 0.5000 [3 per cell]
3 O 0.0000 0.0000 0.1145 [6 per cell]

---

7.
Entry from Alexandria via LeMat-Bulk: an optimized crystal structure of TePdO2 (PBE).

Results
Its formation energy without anion corrections is -0.367 eV per atom. The value obtained for the density of states at the Fermi level is 0.518 states/eV/atom. The value obtained for the size of the total moment is 0.0 μB/f.u.

abc: 3.272 3.112 6.779
angles: 90.00 90.20 90.00
Space group P2/m (No. 10)
Unique sites:
1 Te 0.000 0.000 0.000 [1 per cell]
2 Pd 0.000 0.500 0.500 [1 per cell]
3 O 0.005 0.000 0.308 [2 per cell]

---

8.
Entry from Alexandria via LeMat-Bulk: an optimized crystal structure of TePdO3 (PBE).

Results
Its formation energy without anion corrections is -0.163 eV per atom. The value obtained for the density of states at the Fermi level is 1.268 states/eV/atom. The value obtained for the size of the total moment is 0.9 μB/f.u.

abc: 4.025 4.025 4.025
angles: 90.00 90.00 90.00
Space group Pm-3m (No. 221)
Unique sites:
1 Te 0.000 0.000 0.000 [1 per cell]
2 Pd 0.500 0.500 0.500 [1 per cell]
3 O 0.000 0.000 0.500 [3 per cell]

---

What is the formation energy without anion corrections in the fourth record?
0.206 eV per atom

---

Copy entry 6 word for word.
Entry from Alexandria via LeMat-Bulk: an optimized crystal structure of TePdO2 (PBE).

Results
Its formation energy without anion corrections is -0.279 eV per atom. The value obtained for the density of states at the Fermi level is 0.849 states/eV/atom. The value obtained for the size of the total moment is 0.0 μB/f.u.

abc: 3.3283 3.3283 18.9401
angles: 90.00 90.00 120.00
Space group R-3m (No. 166, hexagonal axes)
Unique sites:
1 Te 0.0000 0.0000 0.0000 [3 per cell]
2 Pd 0.0000 0.0000 0.5000 [3 per cell]
3 O 0.0000 0.0000 0.1145 [6 per cell]